Entry from Alexandria via LeMat-Bulk: crystalline Pm2ErSc7 at its relaxed geometry (PBE-GGA).

```
data_Pm2ErSc7
_cell_length_a 3.315
_cell_length_b 13.998
_cell_length_c 13.998
_cell_angle_alpha 154.86
_cell_angle_beta 90.00
_cell_angle_gamma 90.00
_symmetry_space_group_name_H-M 'P 1'
_symmetry_Int_Tables_number 1
loop_
_symmetry_equiv_pos_as_xyz
'x,y,z'
loop_
_atom_site_label
_atom_site_fract_x
_atom_site_fract_y
_atom_site_fract_z
Pm1 0.500 0.709 0.291
Pm2 0.500 0.291 0.709
Er1 0.000 0.000 0.000
Sc1 0.000 0.820 0.180
Sc2 0.000 0.180 0.820
Sc3 0.500 0.148 0.343
Sc4 0.500 0.852 0.657
Sc5 0.500 0.343 0.148
Sc6 0.500 0.657 0.852
Sc7 0.500 0.500 0.500
```

Properties
E_tot, eV per cell: -56.8
DFT formation energy, meV/atom: 155
Size of the total moment, μB/f.u.: 0.0
Fermi-level density of states, states/eV/cell: 16.30

***

Entry from Alexandria via LeMat-Bulk: crystalline TbHg2Bi at its relaxed geometry (PBE-GGA).

```
data_TbHg2Bi
_cell_length_a 3.828
_cell_length_b 3.828
_cell_length_c 7.308
_cell_angle_alpha 90.00
_cell_angle_beta 90.00
_cell_angle_gamma 90.00
_symmetry_space_group_name_H-M 'P 1'
_symmetry_Int_Tables_number 1
loop_
_symmetry_equiv_pos_as_xyz
'x,y,z'
loop_
_atom_site_label
_atom_site_fract_x
_atom_site_fract_y
_atom_site_fract_z
Tb1 0.500 0.500 0.000
Bi1 0.500 0.500 0.500
Hg1 0.000 0.000 0.755
Hg2 0.000 0.000 0.245
```

Properties
E_tot, eV per cell: -10.1
DFT formation energy, meV/atom: -255
Size of the total moment, μB/f.u.: 0.0
Fermi-level density of states, states/eV/cell: 2.54

***

Entry from Alexandria via LeMat-Bulk: crystalline La6NiIr2Br3 at its relaxed geometry (PBE-GGA).

```
data_La6NiIr2Br3
_cell_length_a 4.203
_cell_length_b 9.269
_cell_length_c 10.188
_cell_angle_alpha 110.64
_cell_angle_beta 101.91
_cell_angle_gamma 90.00
_symmetry_space_group_name_H-M 'P 1'
_symmetry_Int_Tables_number 1
loop_
_symmetry_equiv_pos_as_xyz
'x,y,z'
loop_
_atom_site_label
_atom_site_fract_x
_atom_site_fract_y
_atom_site_fract_z
La1 0.345 0.887 0.690
La2 0.679 0.552 0.357
La3 0.655 0.113 0.310
La4 0.012 0.218 0.025
La5 0.988 0.782 0.975
La6 0.321 0.448 0.643
Ni1 0.500 0.000 0.000
Ir1 0.835 0.670 0.669
Ir2 0.165 0.330 0.331
Br1 0.500 0.500 0.000
Br2 0.834 0.166 0.668
Br3 0.166 0.834 0.332
```

Properties
E_tot, eV per cell: -71.6
ΔE_f (raw), meV/atom: -1124
Size of the total moment, μB/f.u.: 0.0
Fermi-level density of states, states/eV/cell: 6.35

***

Entry from Alexandria via LeMat-Bulk: crystalline Tb15NdY4 at its relaxed geometry (PBE-GGA).

```
data_Tb15NdY4
_cell_length_a 5.049
_cell_length_b 5.049
_cell_length_c 25.253
_cell_angle_alpha 90.00
_cell_angle_beta 90.00
_cell_angle_gamma 90.00
_symmetry_space_group_name_H-M 'P 1'
_symmetry_Int_Tables_number 1
loop_
_symmetry_equiv_pos_as_xyz
'x,y,z'
loop_
_atom_site_label
_atom_site_fract_x
_atom_site_fract_y
_atom_site_fract_z
Tb1 0.500 0.500 0.000
Tb2 0.500 0.500 0.201
Tb3 0.500 0.500 0.400
Tb4 0.500 0.500 0.600
Tb5 0.500 0.500 0.799
Tb6 0.500 0.000 0.101
Tb7 0.500 0.000 0.300
Tb8 0.500 0.000 0.500
Tb9 0.500 0.000 0.700
Tb10 0.500 0.000 0.899
Tb11 0.000 0.500 0.101
Tb12 0.000 0.500 0.300
Tb13 0.000 0.500 0.500
Tb14 0.000 0.500 0.700
Tb15 0.000 0.500 0.899
Nd1 0.000 0.000 0.000
Y1 0.000 0.000 0.201
Y2 0.000 0.000 0.400
Y3 0.000 0.000 0.600
Y4 0.000 0.000 0.799
```

Properties
E_tot, eV per cell: -99.7
DFT formation energy, meV/atom: 18
Size of the total moment, μB/f.u.: 0.0
Fermi-level density of states, states/eV/cell: 27.40

***

Entry from Alexandria via LeMat-Bulk: crystalline ScNF2 at its relaxed geometry (PBE-GGA).

```
data_ScNF2
_cell_length_a 3.978
_cell_length_b 3.978
_cell_length_c 3.978
_cell_angle_alpha 57.57
_cell_angle_beta 57.57
_cell_angle_gamma 57.57
_symmetry_space_group_name_H-M 'P 1'
_symmetry_Int_Tables_number 1
loop_
_symmetry_equiv_pos_as_xyz
'x,y,z'
loop_
_atom_site_label
_atom_site_fract_x
_atom_site_fract_y
_atom_site_fract_z
Sc1 0.000 0.000 0.000
N1 0.500 0.500 0.500
F1 0.693 0.693 0.693
F2 0.307 0.307 0.307
```

Properties
E_tot, eV per cell: -23.7
ΔE_f (raw), meV/atom: -1315
Relative energy among the computed polymorphs, kJ/mol of formula units: 89.3
Size of the total moment, μB/f.u.: 0.0
Fermi-level density of states, states/eV/cell: 0.00

***

Entry from Alexandria via LeMat-Bulk: crystalline ZrFeB2 at its relaxed geometry (PBE-GGA).

```
data_ZrFeB2
_cell_length_a 3.923
_cell_length_b 3.923
_cell_length_c 3.923
_cell_angle_alpha 60.00
_cell_angle_beta 60.00
_cell_angle_gamma 60.00
_symmetry_space_group_name_H-M 'P 1'
_symmetry_Int_Tables_number 1
loop_
_symmetry_equiv_pos_as_xyz
'x,y,z'
loop_
_atom_site_label
_atom_site_fract_x
_atom_site_fract_y
_atom_site_fract_z
B1 0.250 0.250 0.250
B2 0.750 0.750 0.750
Fe1 0.000 0.000 0.000
Zr1 0.500 0.500 0.500
```

Properties
E_tot, eV per cell: -29.9
DFT formation energy, meV/atom: 104
Relative energy among the computed polymorphs, kJ/mol of formula units: 115.8
Size of the total moment, μB/f.u.: 0.0
Fermi-level density of states, states/eV/cell: 0.80

***

Look up the E_tot of the fourth one. -99.7 eV per cell